Ba5Na3 PBE-GGA optimized geometry; DFT formation energy = 0.33 kcal/mol of atoms; SG = No. 123
1.0
4.612 0.000 0.000
0.000 4.612 0.000
0.000 0.000 20.801
Ba Na
5 3
Direct
0.000 0.000 0.000 Ba
0.000 0.000 0.232 Ba
0.000 0.000 0.768 Ba
0.500 0.500 0.386 Ba
0.500 0.500 0.614 Ba
0.000 0.000 0.500 Na
0.500 0.500 0.117 Na
0.500 0.500 0.883 Na

=====

TbHoLuMg PBE-GGA optimized geometry; DFT formation energy = 0.65 kcal/mol of atoms; SG = No. 216
1.0
0.000 3.857 3.857
3.857 0.000 3.857
3.857 3.857 0.000
Tb Ho Lu Mg
1 1 1 1
Direct
0.000 0.000 0.000 Tb
0.500 0.500 0.500 Ho
0.750 0.750 0.750 Lu
0.250 0.250 0.250 Mg

=====

Sr2AlW PBE-GGA optimized geometry; DFT formation energy = 15.61 kcal/mol of atoms; SG = No. 44
1.0
-1.988 2.666 5.397
1.988 -2.666 5.397
1.988 2.666 -5.397
Sr Al W
2 1 1
Direct
0.000 0.000 0.000 Sr
0.709 0.209 0.500 Sr
0.275 0.775 0.500 Al
0.425 0.425 0.000 W

=====

Dy5AlSb2 PBE-GGA optimized geometry; SG = No. 63; formation energy (no corrections) = -332.3 meV per atom
1.0
2.815 -5.710 0.000
2.815 5.710 0.000
0.000 0.000 14.289
Dy Al Sb
10 2 4
Direct
0.076 0.924 0.601 Dy
0.076 0.924 0.899 Dy
0.376 0.624 0.552 Dy
0.376 0.624 0.948 Dy
0.424 0.576 0.250 Dy
0.576 0.424 0.750 Dy
0.624 0.376 0.052 Dy
0.624 0.376 0.448 Dy
0.924 0.076 0.101 Dy
0.924 0.076 0.399 Dy
0.284 0.716 0.750 Al
0.716 0.284 0.250 Al
0.202 0.798 0.118 Sb
0.202 0.798 0.382 Sb
0.798 0.202 0.618 Sb
0.798 0.202 0.882 Sb

=====

Hg2IrOs PBE-GGA optimized geometry; DFT formation energy = 21.89 kcal/mol of atoms; E above lowest polymorph = 528 meV/atom; SG = No. 47
1.0
2.915 0.000 0.000
0.000 4.144 0.000
0.000 0.000 5.809
Hg Ir Os
2 1 1
Direct
0.000 0.000 0.249 Hg
0.000 0.000 0.751 Hg
0.500 0.500 0.000 Ir
0.500 0.500 0.500 Os

=====

Na2Zn12Ga7 PBE-GGA optimized geometry; DFT formation energy = -0.02 kcal/mol of atoms; SG = No. 147
1.0
9.976 0.000 0.000
-4.988 8.639 0.000
0.000 0.000 4.463
Na Zn Ga
2 12 7
Direct
0.333 0.667 0.201 Na
0.667 0.333 0.799 Na
0.038 0.431 0.792 Zn
0.125 0.262 0.173 Zn
0.137 0.875 0.173 Zn
0.262 0.137 0.827 Zn
0.393 0.962 0.792 Zn
0.431 0.393 0.208 Zn
0.569 0.607 0.792 Zn
0.607 0.038 0.208 Zn
0.738 0.863 0.173 Zn
0.863 0.125 0.827 Zn
0.875 0.738 0.827 Zn
0.962 0.569 0.208 Zn
0.000 0.000 0.500 Ga
0.126 0.720 0.680 Ga
0.280 0.406 0.680 Ga
0.406 0.126 0.320 Ga
0.594 0.874 0.680 Ga
0.720 0.594 0.320 Ga
0.874 0.280 0.320 Ga

=====

Ho6Sb2Te3As PBE-GGA optimized geometry; SG = No. 12; formation energy (no corrections) = -1305.6 meV per atom
1.0
9.450 -2.146 0.000
9.450 2.146 0.000
-2.053 0.000 8.419
Ho Sb Te As
6 2 3 1
Direct
0.001 0.001 0.223 Ho
0.333 0.333 0.424 Ho
0.346 0.346 0.918 Ho
0.654 0.654 0.082 Ho
0.667 0.667 0.576 Ho
0.999 0.999 0.777 Ho
0.167 0.167 0.332 Sb
0.833 0.833 0.668 Sb
0.170 0.170 0.835 Te
0.500 0.500 0.500 Te
0.830 0.830 0.165 Te
0.500 0.500 0.000 As

=====

ZrFeOs3 PBE-GGA optimized geometry; DFT formation energy = 68.11 kcal/mol of atoms; E above lowest polymorph = 1874 meV/atom; SG = No. 221
1.0
4.761 0.000 0.000
0.000 4.761 0.000
0.000 0.000 4.761
Zr Fe Os
1 1 3
Direct
0.000 0.000 0.000 Zr
0.500 0.500 0.500 Fe
0.000 0.000 0.500 Os
0.000 0.500 0.000 Os
0.500 0.000 0.000 Os

=====

CoOs2Ru PBE-GGA optimized geometry; DFT formation energy = 14.03 kcal/mol of atoms; E above lowest polymorph = 467 meV/atom; SG = No. 225
1.0
0.000 3.022 3.022
3.022 0.000 3.022
3.022 3.022 0.000
Co Os Ru
1 2 1
Direct
0.000 0.000 0.000 Co
0.250 0.250 0.250 Os
0.750 0.750 0.750 Os
0.500 0.500 0.500 Ru

=====

BaZnCuPt PBE-GGA optimized geometry; DFT formation energy = -10.80 kcal/mol of atoms; SG = No. 8
1.0
3.832 -2.223 0.000
3.832 2.223 0.000
-2.569 0.000 5.590
Ba Zn Cu Pt
1 1 1 1
Direct
0.000 0.000 0.000 Ba
0.506 0.506 0.520 Zn
0.813 0.813 0.441 Cu
0.193 0.193 0.581 Pt

=====

Pm6Nd3Tl PBE-GGA optimized geometry; DFT formation energy = 0.12 kcal/mol of atoms; E above lowest polymorph = 0 meV/atom; SG = No. 11
1.0
12.488 0.000 0.000
0.000 3.654 0.000
-1.069 0.000 14.984
Pm Nd Tl
12 6 2
Direct
0.063 0.250 0.393 Pm
0.121 0.750 0.956 Pm
0.193 0.250 0.746 Pm
0.294 0.750 0.314 Pm
0.311 0.250 0.110 Pm
0.386 0.250 0.497 Pm
0.614 0.750 0.503 Pm
0.689 0.750 0.890 Pm
0.706 0.250 0.686 Pm
0.807 0.750 0.254 Pm
0.879 0.250 0.044 Pm
0.937 0.750 0.607 Pm
0.073 0.750 0.182 Nd
0.398 0.750 0.917 Nd
0.447 0.750 0.696 Nd
0.553 0.250 0.304 Nd
0.602 0.250 0.083 Nd
0.927 0.250 0.818 Nd
0.188 0.750 0.558 Tl
0.812 0.250 0.442 Tl

=====

TbCe2Nd3Te6 PBE-GGA optimized geometry; SG = No. 12; formation energy (no corrections) = -1391.4 meV per atom
1.0
9.768 -2.224 0.000
9.768 2.224 0.000
-2.144 0.000 8.754
Tb Ce Nd Te
1 2 3 6
Direct
0.000 0.000 0.000 Tb
0.333 0.333 0.664 Ce
0.667 0.667 0.336 Ce
0.000 0.000 0.500 Nd
0.332 0.332 0.166 Nd
0.668 0.668 0.834 Nd
0.164 0.164 0.083 Te
0.166 0.166 0.584 Te
0.500 0.500 0.243 Te
0.500 0.500 0.757 Te
0.834 0.834 0.416 Te
0.836 0.836 0.917 Te